This record from the Open Quantum Materials Database describes Rb2InWS6 after structural relaxation. The functional is PBE.

Cell lengths 7.059, 7.059, 7.059 Å; angles 60.00, 60.00, 60.00 degrees
Element x y z (fractional)
1 W 0.000 0.000 0.000
2 S 0.762 0.762 0.238
3 S 0.762 0.238 0.238
4 S 0.238 0.762 0.238
5 S 0.762 0.238 0.762
6 S 0.238 0.762 0.762
7 S 0.238 0.238 0.762
8 In 0.500 0.500 0.500
9 Rb 0.750 0.750 0.750
10 Rb 0.250 0.250 0.250

Calculated values
ρ in g/cm3: 4.419
Final energy in eV/atom: -4.703
Crystal system: cubic